LiCoCO4 | PBE with a Hubbard U | optimized geometry

Computed properties:
- E_tot (eV/cell) = -182.2
- calculated volume (Å³/cell) = 390.2
- relative energy among the computed polymorphs (meV/atom) = 28

abc: 5.191 7.148 10.782
angles: 77.27 90.00 90.00
Last column: magnetic moment on the atom in μB.
Fractional positions:
1 Li 0.881 0.864 0.289  0.01
2 Li 0.619 0.864 0.789  0.01
3 Li 0.381 0.136 0.211  0.01
4 Li 0.119 0.136 0.711  0.01
5 Co 0.658 0.489 0.348  3.02
6 Co 0.158 0.511 0.152  3.02
7 Co 0.842 0.489 0.848  3.02
8 Co 0.342 0.511 0.652  3.02
9 C 0.339 0.783 0.413  0.01
10 C 0.161 0.783 0.913  0.01
11 C 0.839 0.217 0.087  0.01
12 C 0.661 0.217 0.587  0.01
13 O 0.239 0.923 0.335  0.04
14 O 0.261 0.923 0.835  0.04
15 O 0.579 0.729 0.397  0.12
16 O 0.921 0.729 0.897  0.12
17 O 0.294 0.689 0.009  0.13
18 O 0.931 0.609 0.244  0.48
19 O 0.206 0.689 0.509  0.13
20 O 0.569 0.609 0.744  0.48
21 O 0.431 0.391 0.256  0.48
22 O 0.794 0.311 0.491  0.13
23 O 0.069 0.391 0.756  0.48
24 O 0.706 0.311 0.991  0.13
25 O 0.079 0.271 0.103  0.12
26 O 0.421 0.271 0.603  0.12
27 O 0.739 0.077 0.165  0.04
28 O 0.761 0.077 0.665  0.04